Compound: LaTlSe2
Source: Alexandria via LeMat-Bulk
Functional: SCAN
Structure: PBEsol geometry

## Properties
space-group type	R3m, No. 160
formation energy without anion corrections	-1.10	eV per atom
E	-40.0047	eV/atom

Unit cell a=4.485 b=4.485 c=7.672 alpha=73.00 beta=73.00 gamma=60.00
Sites, in units of the cell vectors:
1 La 0.254 0.254 0.238
2 Se 0.978 0.978 0.067
3 Se 0.775 0.775 0.675
4 Tl 0.494 0.494 0.519



Compound: LaTl2Se
Source: Alexandria via LeMat-Bulk
Functional: SCAN
Structure: PBEsol geometry

## Properties
space-group type	Cm, No. 8
formation energy without anion corrections	-0.80	eV per atom
E	-52.7744	eV/atom
D(E_F)	2.2	states/eV per cell

Unit cell a=3.967 b=5.528 c=5.703 alpha=106.70 beta=110.35 gamma=90.00
Sites, in units of the cell vectors:
1 La 0.528 0.609 0.055
2 Se 0.247 0.627 0.495
3 Tl 0.985 0.058 0.970
4 Tl 0.740 0.207 0.480



Compound: LaW2Se
Source: Alexandria via LeMat-Bulk
Functional: SCAN
Structure: PBEsol geometry

## Properties
space-group type	C2/m, No. 12
formation energy without anion corrections	0.54	eV per atom
energy relative to the lowest polymorph listed for this composition	0.446	eV per atom
E	-50.1019	eV/atom
D(E_F)	4.0	states/eV per cell

Unit cell a=3.378 b=4.481 c=5.949 alpha=111.96 beta=106.28 gamma=90.53
Sites, in units of the cell vectors:
1 La 0.500 0.000 0.000
2 Se 0.000 0.500 0.000
3 W 0.000 0.000 0.500
4 W 0.500 0.500 0.500